Li6FeCl8 (SCAN, single point on PBEsol structure); crystal system = cubic; space group = No. 225; ΔE_f (raw) = -1.800 eV per atom
1.0
-0.3971 -6.6359 -2.6584
5.6240 -4.4016 0.5061
-0.2408 -5.6215 4.4272
Li Cl Fe
6 8 1
direct
0.5000 0.0000 0.0000
0.0000 0.5000 0.0000
0.5000 0.0000 0.5000
0.5000 0.5000 0.0000
0.0000 0.5000 0.5000
0.0000 0.0000 0.5000
0.2412 0.7588 0.2412
0.7500 0.7500 0.7500
0.7588 0.7588 0.2412
0.2500 0.2500 0.2500
0.2412 0.7588 0.7588
0.7588 0.2412 0.2412
0.7588 0.2412 0.7588
0.2412 0.2412 0.7588
0.0000 0.0000 0.0000

=====

Li2FeCl (SCAN, single point on PBEsol structure); crystal system = tetragonal; relative energy among the computed polymorphs = 262 meV per atom; space group = No. 122; ΔE_f (raw) = -0.159 eV per atom
1.0
-1.8756 -4.7642 -2.3612
4.8882 1.7855 -2.1697
0.8398 -1.0274 5.4799
Li Fe Cl
4 2 2
direct
0.8297 0.8750 0.4547
0.4203 0.3750 0.5453
0.6250 0.1703 0.0453
0.1250 0.5797 0.9547
0.0000 0.0000 0.0000
0.2500 0.7500 0.5000
0.5000 0.5000 0.0000
0.7500 0.2500 0.5000

=====

LiFeCl2 (SCAN, single point on PBEsol structure); crystal system = trigonal; space group = No. 166; ΔE_f (raw) = -0.991 eV per atom
1.0
-1.2404 -1.2219 2.9699
-2.8338 -1.9548 0.0075
2.0311 -5.9745 0.3856
Li Fe Cl
1 1 2
direct
0.5000 0.5000 0.5000
0.0000 0.0000 0.0000
0.2503 0.2503 0.2490
0.7497 0.7497 0.7510